# Sc4PdPt7 (PBE-GGA, relaxed)
# M_tot: 0.0 μB per formula unit
# E_form: -9.303 eV/f.u.
# calculated volume: 18.7 Å³ per atom
data_Sc4PdPt7
_cell_length_a 10.5708
_cell_length_b 4.9700
_cell_length_c 9.7949
_cell_angle_alpha 90.00
_cell_angle_beta 119.42
_cell_angle_gamma 90.00
_symmetry_space_group_name_H-M 'C 1 2/m 1'
_symmetry_Int_Tables_number 12
loop_
_symmetry_equiv_pos_as_xyz
'x,y,z'
'-x,-y,-z'
'-x,y,-z'
'x,-y,z'
'x+1/2,y+1/2,z'
'-x+1/2,-y+1/2,-z'
'-x+1/2,y+1/2,-z'
'x+1/2,-y+1/2,z'
loop_
_atom_site_label
_atom_site_fract_x
_atom_site_fract_y
_atom_site_fract_z
_atom_site_occupancy
Sc1 0.0903 0.0000 0.2816 1
Sc2 0.2262 0.5000 0.1501 1
Pd1 0.0000 0.5000 0.5000 1
Pt1 0.0000 0.0000 0.5000 1
Pt2 0.0742 0.5000 0.8161 1
Pt3 0.1355 0.0000 0.0271 1
Pt4 0.2110 0.5000 0.4070 1

# ErZrGa2 (PBE-GGA, relaxed)
# M_tot: 0.0 μB per formula unit
# distance to the lowest polymorph of the same formula: 0.000 eV/atom
# E_form: -2.344 eV/f.u.
# calculated volume: 21.3 Å³ per atom
data_ErZrGa2
_cell_length_a 3.8998
_cell_length_b 4.1398
_cell_length_c 10.5482
_cell_angle_alpha 90.00
_cell_angle_beta 90.00
_cell_angle_gamma 90.00
_symmetry_space_group_name_H-M 'A m m 2'
_symmetry_Int_Tables_number 38
loop_
_symmetry_equiv_pos_as_xyz
'x,y,z'
'-x,-y,z'
'-x,y,z'
'x,-y,z'
'x,y+1/2,z+1/2'
'-x,-y+1/2,z+1/2'
'-x,y+1/2,z+1/2'
'x,-y+1/2,z+1/2'
loop_
_atom_site_label
_atom_site_fract_x
_atom_site_fract_y
_atom_site_fract_z
_atom_site_occupancy
Er1 0.0000 0.0000 0.0000 1
Zr1 0.5000 0.0000 0.7191 1
Ga1 0.0000 0.0000 0.2735 1
Ga2 0.5000 0.0000 0.4349 1

Q: What is the formula in the second record?
A: ErZrGa2

Q: Among the records above, which one has the highest calculated volume?
A: ErZrGa2

Q: Which value of M_tot does entry 2 give?
A: 0.0 μB per formula unit

Q: Look up the M_tot of the first one.
A: 0.0 μB per formula unit